A plane-wave DFT calculation with GGA-PBEsol was carried out for LiSc3P after structural relaxation.

Unit cell a=4.945 b=4.945 c=4.945 alpha=90.00 beta=90.00 gamma=90.00
Positions (direct):
Li1 0.000 0.000 0.000
Sc1 0.000 0.500 0.500
Sc2 0.500 0.000 0.500
Sc3 0.500 0.500 0.000
P1 0.500 0.500 0.500

- formation energy from the elements (eV/atom) = -0.33

A plane-wave DFT calculation with GGA-PBEsol was carried out for Ru3Rh5 after structural relaxation.

Unit cell a=7.528 b=7.577 c=3.756 alpha=90.00 beta=90.00 gamma=90.00
Positions (direct):
Ru1 0.000 0.000 0.000
Ru2 0.248 0.000 0.500
Ru3 0.252 0.500 0.500
Ru4 0.500 0.500 0.000
Ru5 0.748 0.500 0.500
Ru6 0.752 0.000 0.500
Rh1 0.000 0.248 0.500
Rh2 0.000 0.500 0.000
Rh3 0.000 0.752 0.500
Rh4 0.250 0.250 0.000
Rh5 0.250 0.750 0.000
Rh6 0.500 0.000 0.000
Rh7 0.500 0.252 0.500
Rh8 0.500 0.748 0.500
Rh9 0.750 0.250 0.000
Rh10 0.750 0.750 0.000

- formation energy from the elements (eV/atom) = 0.04

A plane-wave DFT calculation with GGA-PBEsol was carried out for LiCdRh2 after structural relaxation.

Unit cell a=2.717 b=4.228 c=5.148 alpha=90.00 beta=104.06 gamma=90.00
Positions (direct):
Li1 0.000 0.000 0.000
Cd1 0.500 0.000 0.500
Rh1 0.156 0.500 0.776
Rh2 0.844 0.500 0.224

- formation energy from the elements (eV/atom) = -0.06

A plane-wave DFT calculation with GGA-PBEsol was carried out for TlPtS3 after structural relaxation.

Unit cell a=4.715 b=4.715 c=4.715 alpha=90.00 beta=90.00 gamma=90.00
Positions (direct):
Tl1 0.000 0.000 0.000
Pt1 0.500 0.500 0.500
S1 0.000 0.500 0.500
S2 0.500 0.000 0.500
S3 0.500 0.500 0.000

- energy relative to the elements, uncorrected (meV per atom) = 240
- energy above the lowest structure with this stoichiometry (eV/f.u.) = 0.00

A plane-wave DFT calculation with GGA-PBEsol was carried out for YAgTe2 after structural relaxation.

Unit cell a=4.119 b=3.987 c=13.016 alpha=90.00 beta=90.00 gamma=90.00
Positions (direct):
Y1 0.000 0.000 0.000
Y2 0.000 0.500 0.500
Ag1 0.500 0.000 0.198
Ag2 0.500 0.500 0.698
Te1 0.000 0.000 0.680
Te2 0.000 0.500 0.180
Te3 0.500 0.000 0.415
Te4 0.500 0.500 0.915

- energy relative to the elements, uncorrected (meV per atom) = -874

A plane-wave DFT calculation with GGA-PBEsol was carried out for Co2H2Rh after structural relaxation.

Unit cell a=5.552 b=5.552 c=2.679 alpha=90.00 beta=90.00 gamma=90.00
Positions (direct):
Co1 0.142 0.358 0.000
Co2 0.358 0.858 0.000
Co3 0.642 0.142 0.000
Co4 0.858 0.642 0.000
H1 0.214 0.714 0.500
H2 0.286 0.214 0.500
H3 0.714 0.786 0.500
H4 0.786 0.286 0.500
Rh1 0.000 0.000 0.500
Rh2 0.500 0.500 0.500

- final energy (eV/atom) = -5.794

A plane-wave DFT calculation with GGA-PBEsol was carried out for TlReP after structural relaxation.

Unit cell a=6.123 b=6.123 c=6.123 alpha=90.00 beta=90.00 gamma=90.00
Positions (direct):
Tl1 0.000 0.000 0.000
Tl2 0.000 0.500 0.500
Tl3 0.500 0.000 0.500
Tl4 0.500 0.500 0.000
Re1 0.250 0.250 0.250
Re2 0.250 0.750 0.750
Re3 0.750 0.250 0.750
Re4 0.750 0.750 0.250
P1 0.000 0.000 0.500
P2 0.000 0.500 0.000
P3 0.500 0.000 0.000
P4 0.500 0.500 0.500

- formation energy from the elements (eV/atom) = 0.94

A plane-wave DFT calculation with GGA-PBEsol was carried out for RbCuNi2Pt after structural relaxation.

Unit cell a=4.406 b=4.406 c=5.089 alpha=90.00 beta=90.00 gamma=90.00
Positions (direct):
Rb1 0.000 0.000 0.000
Cu1 0.500 0.500 0.500
Ni1 0.000 0.500 0.000
Ni2 0.500 0.000 0.000
Pt1 0.000 0.000 0.500

- formation energy from the elements (eV/atom) = 2.40

A plane-wave DFT calculation with GGA-PBEsol was carried out for LiMg2Ir after structural relaxation.

Unit cell a=6.296 b=6.296 c=6.296 alpha=90.00 beta=90.00 gamma=90.00
Positions (direct):
Li1 0.000 0.000 0.000
Li2 0.000 0.500 0.500
Li3 0.500 0.000 0.500
Li4 0.500 0.500 0.000
Mg1 0.250 0.250 0.250
Mg2 0.250 0.250 0.750
Mg3 0.250 0.750 0.250
Mg4 0.250 0.750 0.750
Mg5 0.750 0.250 0.250
Mg6 0.750 0.250 0.750
Mg7 0.750 0.750 0.250
Mg8 0.750 0.750 0.750
Ir1 0.000 0.000 0.500
Ir2 0.000 0.500 0.000
Ir3 0.500 0.000 0.000
Ir4 0.500 0.500 0.500

- formation energy from the elements (eV/atom) = -0.30

A plane-wave DFT calculation with GGA-PBEsol was carried out for YTlTe2 after structural relaxation.

Unit cell a=4.625 b=4.239 c=11.598 alpha=90.00 beta=90.00 gamma=90.00
Positions (direct):
Y1 0.000 0.000 0.000
Y2 0.000 0.500 0.500
Tl1 0.500 0.000 0.187
Tl2 0.500 0.500 0.687
Te1 0.000 0.000 0.712
Te2 0.000 0.500 0.212
Te3 0.500 0.000 0.438
Te4 0.500 0.500 0.938

- energy relative to the elements, uncorrected (meV per atom) = -913

A plane-wave DFT calculation with GGA-PBEsol was carried out for LiHgBr2 after structural relaxation.

Unit cell a=3.915 b=3.725 c=6.870 alpha=90.00 beta=97.23 gamma=90.00
Positions (direct):
Li1 0.000 0.000 0.000
Hg1 0.500 0.000 0.500
Br1 0.158 0.500 0.767
Br2 0.842 0.500 0.233

- energy relative to the elements, uncorrected (meV per atom) = -668
- energy above the lowest structure with this stoichiometry (eV/f.u.) = 0.31

A plane-wave DFT calculation with GGA-PBEsol was carried out for Na2CoAs2 after structural relaxation.

Unit cell a=6.034 b=6.034 c=4.923 alpha=90.00 beta=90.00 gamma=90.00
Positions (direct):
Na1 0.177 0.323 0.000
Na2 0.323 0.823 0.000
Na3 0.677 0.177 0.000
Na4 0.823 0.677 0.000
Co1 0.000 0.000 0.500
Co2 0.500 0.500 0.500
As1 0.146 0.646 0.500
As2 0.354 0.146 0.500
As3 0.646 0.854 0.500
As4 0.854 0.354 0.500

- formation energy from the elements (eV/atom) = -0.31